DFT (PBE-GGA) results for a geometry-optimized IrO2F structure.

a b c (Å): 5.167 5.167 5.167
angles (deg): 90.00 90.00 90.00
Space group Fm-3m (No. 225)
Unique sites:
Ir 0.000 0.000 0.000
O 0.250 0.250 0.250
F 0.000 0.000 0.500

Results
- V: 8.6 Å³ per atom
- Electronic total energy: -4.966 eV/atom
- Uncorrected formation energy: 196 meV per atom

=====

DFT (PBE-GGA) results for a geometry-optimized AsPbAu2 structure.

a b c (Å): 3.728 3.866 6.397
angles (deg): 90.00 90.00 90.00
Space group Pmm2 (No. 25)
Unique sites:
As 0.000 0.000 0.000
Pb 0.500 0.500 0.392
Au 0.000 0.000 0.598
Au 0.500 0.500 0.930

Results
- Formation energy: 33 kJ/mol of formula units
- V: 23.0 Å³ per atom
- Electronic total energy: -3.644 eV/atom